Density functional theory data (PBE-GGA) for a geometry-optimized Ho12Au3O5 structure.

The structure in CIF format:
```
data_Ho12Au3O5
_chemical_formula_sum 'Ho96 Au24 O40'
_symmetry_space_group_name_H-M 'I a -3 d'
_symmetry_Int_Tables_number 230
_symmetry_space_group_name_Hall '-I 4bd 2c 3'
_cell_length_a 15.259
_cell_length_b 15.259
_cell_length_c 15.259
_cell_angle_alpha 90.00
_cell_angle_beta 90.00
_cell_angle_gamma 90.00
loop_
_atom_site_label
_atom_site_fract_x
_atom_site_fract_y
_atom_site_fract_z
Ho1 0.038 0.053 0.650
Au1 0.000 0.250 0.125
O1 0.000 0.000 0.000
O2 0.000 0.250 0.375
```

Results
- formation energy from raw total energies (eV per formula unit) = -33.26

=====

Density functional theory data (PBE-GGA) for a geometry-optimized CrCu4Ru structure.

The structure in CIF format:
```
data_CrCu4Ru
_chemical_formula_sum 'Cr4 Cu16 Ru4'
_symmetry_space_group_name_H-M 'F -4 3 m'
_symmetry_Int_Tables_number 216
_symmetry_space_group_name_Hall 'F -4 2 3'
_cell_length_a 6.749
_cell_length_b 6.749
_cell_length_c 6.749
_cell_angle_alpha 90.00
_cell_angle_beta 90.00
_cell_angle_gamma 90.00
loop_
_atom_site_label
_atom_site_fract_x
_atom_site_fract_y
_atom_site_fract_z
Cr1 0.000 0.000 0.000
Cu1 0.125 0.125 0.625
Ru1 0.250 0.250 0.250
```

Results
- energy relative to the elements (meV per atom) = 262

=====

Density functional theory data (PBE-GGA) for a geometry-optimized YMn2Br structure.

The structure in CIF format:
```
data_YMn2Br
_chemical_formula_sum 'Y4 Mn8 Br4'
_symmetry_space_group_name_H-M 'I -4 2 d'
_symmetry_Int_Tables_number 122
_symmetry_space_group_name_Hall 'I -4 2bw'
_cell_length_a 7.974
_cell_length_b 7.974
_cell_length_c 5.622
_cell_angle_alpha 90.00
_cell_angle_beta 90.00
_cell_angle_gamma 90.00
loop_
_atom_site_label
_atom_site_fract_x
_atom_site_fract_y
_atom_site_fract_z
Y1 0.000 0.000 0.000
Mn1 0.206 0.750 0.625
Br1 0.000 0.000 0.500
```

Results
- formation energy from raw total energies (eV per formula unit) = 1.07
- relative energy among the computed polymorphs (eV/atom) = 0.360